[1]
DFT (GGA-PBEsol) results for a relaxed Cr2SbSe crystal.

abc: 5.6195 5.6195 12.5863
angles: 90.00 90.00 90.00
Space group I-42d (No. 122)
One atom of each set of equivalent atoms:
Cr  0.2161  0.2500  0.1250 x8
Sb  0.0000  0.0000  0.5000 x4
Se  0.0000  0.0000  0.0000 x4

Summary:
distance to the lowest polymorph of the same formula	113	meV per atom
formation energy from raw total energies	0.347	eV per atom


[2]
DFT (GGA-PBEsol) results for a relaxed Cr2SbSe crystal.

abc: 3.0222 3.0222 27.6637
angles: 90.00 90.00 120.00
Space group R3m (No. 160, hexagonal axes)
One atom of each set of equivalent atoms:
Cr  0.0000  0.0000  0.0000 x3
Cr  0.0000  0.0000  0.2704 x3
Sb  0.0000  0.0000  0.5266 x3
Se  0.0000  0.0000  0.7262 x3

Summary:
distance to the lowest polymorph of the same formula	0	meV per atom
formation energy from raw total energies	0.234	eV per atom


[3]
DFT (GGA-PBEsol) results for a relaxed CrSi2Sb crystal.

abc: 3.0343 3.0343 24.7213
angles: 90.00 90.00 120.00
Space group R-3m (No. 166, hexagonal axes)
One atom of each set of equivalent atoms:
Cr  0.0000  0.0000  0.0000 x3
Si  0.0000  0.0000  0.2680 x6
Sb  0.0000  0.0000  0.5000 x3

Summary:
formation energy from raw total energies	0.284	eV per atom


[4]
DFT (GGA-PBEsol) results for a relaxed CrSiSb2 crystal.

abc: 6.1754 7.4493 3.4859
angles: 90.00 90.00 90.00
Space group Cmmm (No. 65)
One atom of each set of equivalent atoms:
Cr  0.0000  0.0000  0.0000 x2
Si  0.0000  0.5000  0.0000 x2
Sb  0.2500  0.2500  0.5000 x4

Summary:
formation energy from raw total energies	0.470	eV per atom


[5]
DFT (GGA-PBEsol) results for a relaxed CrSi4Sb crystal.

abc: 7.2733 7.2733 7.2733
angles: 90.00 90.00 90.00
Space group F-43m (No. 216)
One atom of each set of equivalent atoms:
Cr  0.0000  0.0000  0.0000 x4
Si  0.1256  0.1256  0.3744 x16
Sb  0.2500  0.2500  0.7500 x4

Summary:
formation energy from raw total energies	0.503	eV per atom


[6]
DFT (GGA-PBEsol) results for a relaxed CrSi2Sb crystal.

abc: 3.0322 3.0322 6.8394
angles: 90.00 90.00 90.00
Space group P4/mmm (No. 123)
One atom of each set of equivalent atoms:
Cr  0.0000  0.0000  0.0000 x1
Si  0.5000  0.5000  0.1798 x2
Sb  0.0000  0.0000  0.5000 x1

Summary:
formation energy from raw total energies	0.148	eV per atom